Below is a relaxed BaDy2WO8 crystal, with properties calculated at the GGA+U level.

a b c (Å): 4.8496 4.8920 7.6669
angles (deg): 92.13 93.28 91.52
Last column: nearest neighbours and their distance in Å.
Space group P-1 (No. 2)
Symmetry-distinct sites (fractional):
Ba 0.0000 0.0000 0.0000 x1  6 O 2.72-2.76
Dy 0.4614 0.4656 0.7087 x2  6 O 2.18-2.39
W 0.0000 0.0000 0.5000 x1  6 O 1.96-1.97
O 0.1518 0.7766 0.3131 x2  1 W 1.96
O 0.2408 0.8650 0.6927 x2  1 W 1.97
O 0.2753 0.2885 0.4632 x2  1 W 1.96, 1 Dy 2.18
O 0.3539 0.4409 0.9984 x2  1 O 1.51

Values from the calculation:
As for the size of the total moment: 0.00 μB per cell. The value obtained for the total energy is -0.546 Ry per atom.